[1]
Here is a geometry-optimized Tb2Dy3Pu structure from the Alexandria database. Energies are from PBE-GGA.

Values from the calculation:
Its symmetry is No. 72. The total magnetization comes out at 11.654 Bohr magnetons per cell. For the density of states at the Fermi level, the calculation gives 24.4 states/eV per cell. As for the formation enthalpy at 0 K: 3.56 eV/f.u.

Cell: 8.828 8.828 8.828 Å, 99.71 94.78 138.42°
Element x y z (fractional)
Tb  0.099  0.247  0.346
Tb  0.401  0.747  0.148
Tb  0.599  0.253  0.852
Tb  0.901  0.753  0.654
Dy  0.017  0.750  0.267
Dy  0.250  0.250  0.000
Dy  0.483  0.750  0.733
Dy  0.517  0.250  0.267
Dy  0.750  0.750  0.000
Dy  0.983  0.250  0.733
Pu  0.000  0.500  0.500
Pu  0.500  0.000  0.500



[2]
Here is a geometry-optimized Tb2Mg2Ag3 structure from the Alexandria database. Energies are from PBE-GGA.

Values from the calculation:
Its symmetry is No. 12. The total magnetization comes out at 0.000 Bohr magnetons per cell. For the density of states at the Fermi level, the calculation gives 3.8 states/eV per cell. As for the formation enthalpy at 0 K: -1.10 eV/f.u.

Cell: 4.808 4.808 8.725 Å, 105.89 105.89 60.11°
Element x y z (fractional)
Tb  0.124  0.124  0.369
Tb  0.876  0.876  0.631
Mg  0.372  0.372  0.113
Mg  0.628  0.628  0.887
Ag  0.000  0.000  0.000
Ag  0.254  0.254  0.761
Ag  0.746  0.746  0.239



[3]
Here is a geometry-optimized MgNpGaO6 structure from the Alexandria database. Energies are from PBE-GGA.

Values from the calculation:
Its symmetry is No. 163. The final energy is -0.2766 hartree per atom. The total magnetization comes out at 0.000 Bohr magnetons per cell.

Cell: 5.223 5.223 9.192 Å, 90.00 90.00 120.00°
Element x y z (fractional)
Mg  0.000  0.000  0.000
Mg  0.000  0.000  0.500
Np  0.333  0.667  0.250
Np  0.667  0.333  0.750
Ga  0.333  0.667  0.750
Ga  0.667  0.333  0.250
O  0.003  0.345  0.633
O  0.003  0.658  0.867
O  0.342  0.345  0.867
O  0.342  0.997  0.633
O  0.345  0.003  0.133
O  0.345  0.342  0.367
O  0.655  0.658  0.633
O  0.655  0.997  0.867
O  0.658  0.003  0.367
O  0.658  0.655  0.133
O  0.997  0.342  0.133
O  0.997  0.655  0.367



[4]
Here is a geometry-optimized Tb3Er structure from the Alexandria database. Energies are from PBE-GGA.

Values from the calculation:
Its symmetry is No. 139. The energy above the most stable polymorph in this dataset is 5 meV/atom. The total magnetization comes out at 0.000 Bohr magnetons per cell. For the density of states at the Fermi level, the calculation gives 5.0 states/eV per cell. As for the formation enthalpy at 0 K: 0.06 eV/f.u.

Cell: 6.136 6.136 6.136 Å, 131.93 131.93 70.33°
Element x y z (fractional)
Tb  0.000  0.000  0.000
Tb  0.250  0.750  0.500
Tb  0.750  0.250  0.500
Er  0.500  0.500  0.000